Entry 1:
This record from the Alexandria database describes SmHoAl2S6 after structural relaxation. The functional is GGA-PBE.

Summary:
Raw formation energy ... -1.49 eV per atom
M_tot ... 0.00 μB per formula unit
Electronic total energy ... -56.5 eV for the cell shown

Structure (POSCAR):
```
SmHoAl2S6
1.0
6.4678 0.0001 -0.0016
-3.2335 5.6011 -0.0002
-3.2324 -1.8659 6.4261
Sm Ho Al S
1 1 2 6
Direct
0.9965 0.4977 0.4801 Sm
0.9966 0.9978 0.9802 Ho
0.6499 0.8244 0.4604 Al
0.3432 0.1711 0.5002 Al
0.5146 0.9370 0.6968 S
0.4784 0.0584 0.2637 S
0.8588 0.7994 0.2637 S
0.2194 0.4190 0.2637 S
0.7738 0.5765 0.6968 S
0.1343 0.1963 0.6968 S
```

Entry 2:
This record from the Alexandria database describes Sr2HoAlS5 after structural relaxation. The functional is GGA-PBE.

Summary:
Raw formation energy ... -1.86 eV per atom
M_tot ... 0.00 μB per formula unit
Electronic total energy ... -98.1 eV for the cell shown

Structure (POSCAR):
```
Sr2HoAlS5
1.0
3.9465 0.0000 0.0000
-1.9733 8.8562 0.0000
0.0000 0.0000 12.4610
Sr Ho Al S
4 2 2 10
Direct
0.8741 0.7482 0.8258 Sr
0.1155 0.2310 0.6818 Sr
0.1259 0.2517 0.3258 Sr
0.8845 0.7690 0.1818 Sr
0.7926 0.5852 0.5285 Ho
0.2074 0.4148 0.0285 Ho
0.5573 0.1146 0.9296 Al
0.4427 0.8854 0.4296 Al
0.3548 0.7095 0.0068 S
0.6815 0.3629 0.8750 S
0.4982 0.9963 0.7736 S
0.2936 0.5873 0.6741 S
0.9560 0.9120 0.5289 S
0.6452 0.2905 0.5068 S
0.3185 0.6371 0.3750 S
0.5018 0.0037 0.2736 S
0.7064 0.4127 0.1741 S
0.0440 0.0880 0.0289 S
```

Entry 3:
This record from the Alexandria database describes SrHoAlS4 after structural relaxation. The functional is GGA-PBE.

Summary:
Raw formation energy ... -1.73 eV per atom
M_tot ... 0.00 μB per formula unit
Electronic total energy ... -77.3 eV for the cell shown

Structure (POSCAR):
```
SrHoAlS4
1.0
6.5140 0.0000 0.0808
0.0000 6.6707 0.0000
-2.4502 0.0000 7.6529
Sr Ho Al S
2 2 2 8
Direct
0.7498 0.7500 0.9394 Sr
0.2502 0.2500 0.0606 Sr
0.7816 0.7500 0.4478 Ho
0.2184 0.2500 0.5522 Ho
0.2431 0.7500 0.3222 Al
0.7569 0.2500 0.6778 Al
0.9983 0.5025 0.7270 S
0.0017 0.0025 0.2730 S
0.0017 0.4975 0.2730 S
0.9983 0.9975 0.7270 S
0.4436 0.7500 0.1417 S
0.5564 0.2500 0.8583 S
0.4527 0.7500 0.5937 S
0.5473 0.2500 0.4063 S
```

Entry 4:
This record from the Alexandria database describes Tb2HoAlS6 after structural relaxation. The functional is GGA-PBE.

Summary:
Raw formation energy ... -1.75 eV per atom
M_tot ... 0.00 μB per formula unit
Electronic total energy ... -59.8 eV for the cell shown

Structure (POSCAR):
```
Tb2HoAlS6
1.0
6.7379 0.0002 0.0001
3.3691 5.8349 0.0004
3.3687 1.9456 5.9184
Tb Ho Al S
2 1 1 6
Direct
0.5239 0.5239 0.4285 Tb
0.0217 0.0217 0.9350 Tb
0.8165 0.8165 0.5505 Ho
0.3204 0.3203 0.0389 Al
0.5821 0.2076 0.2494 S
0.2075 0.9610 0.2495 S
0.9611 0.5820 0.2495 S
0.4312 0.6842 0.7713 S
0.6841 0.1132 0.7714 S
0.1133 0.4312 0.7713 S
```

Entry 5:
This record from the Alexandria database describes HoAlTl2S4 after structural relaxation. The functional is GGA-PBE.

Summary:
Raw formation energy ... -0.98 eV per atom
M_tot ... 0.00 μB per formula unit
Electronic total energy ... -74.9 eV for the cell shown

Structure (POSCAR):
```
HoAlTl2S4
1.0
8.1288 -0.0067 -0.2149
-0.0124 8.1288 -0.2149
-4.1401 -4.1430 5.9593
Ho Al Tl S
2 2 4 8
Direct
0.0000 0.5000 0.0000 Ho
0.0000 0.5000 0.5000 Ho
0.5000 0.5000 0.5000 Al
0.0000 0.0000 0.0000 Al
0.5000 0.0000 0.0000 Tl
0.5000 0.0000 0.5000 Tl
0.0000 0.0000 0.5000 Tl
0.5000 0.5000 0.0000 Tl
0.1940 0.7535 0.9737 S
0.7465 0.3060 0.5263 S
0.2535 0.6940 0.4738 S
0.8060 0.2465 0.0262 S
0.7610 0.7389 0.9461 S
0.7611 0.7390 0.5539 S
0.2389 0.2610 0.4461 S
0.2390 0.2611 0.0539 S
```

Entry 6:
This record from the Alexandria database describes Ho3AlTl4S8 after structural relaxation. The functional is GGA-PBE.

Summary:
Raw formation energy ... -1.27 eV per atom
M_tot ... 0.00 μB per formula unit
Electronic total energy ... -80.3 eV for the cell shown

Structure (POSCAR):
```
Ho3AlTl4S8
1.0
-0.1496 -2.4054 -7.4688
8.3622 -2.6191 0.6760
-5.0494 -3.0168 5.1959
Ho Al Tl S
3 1 4 8
Direct
0.5000 0.5000 0.0000 Ho
0.5000 0.5000 0.5000 Ho
0.0000 0.5000 0.5000 Ho
0.0000 0.5000 0.0000 Al
0.5000 0.0000 0.0000 Tl
0.5000 0.0000 0.5000 Tl
0.0000 0.0000 0.0000 Tl
0.0000 0.0000 0.5000 Tl
0.2173 0.6876 0.9704 S
0.2174 0.6878 0.4349 S
0.2670 0.3010 0.5340 S
0.7531 0.6876 0.9704 S
0.2469 0.3124 0.0296 S
0.7330 0.6990 0.4660 S
0.7826 0.3122 0.5651 S
0.7827 0.3124 0.0296 S
```

Entry 7:
This record from the Alexandria database describes HoTmAl2S6 after structural relaxation. The functional is GGA-PBE.

Summary:
Raw formation energy ... -1.52 eV per atom
M_tot ... 0.00 μB per formula unit
Electronic total energy ... -56.5 eV for the cell shown

Structure (POSCAR):
```
HoTmAl2S6
1.0
6.3876 0.0001 -0.0012
-3.1940 5.5317 0.0001
-3.1926 -1.8435 6.3566
Ho Tm Al S
1 1 2 6
Direct
0.9965 0.4977 0.4801 Ho
0.9966 0.9978 0.9803 Tm
0.6492 0.8241 0.4593 Al
0.3439 0.1715 0.5014 Al
0.5081 0.9292 0.6980 S
0.4849 0.0662 0.2625 S
0.8589 0.7917 0.2626 S
0.2104 0.4176 0.2625 S
0.7828 0.5779 0.6980 S
0.1342 0.2039 0.6980 S
```

Entry 8:
This record from the Alexandria database describes Ho2TmAlS6 after structural relaxation. The functional is GGA-PBE.

Summary:
Raw formation energy ... -1.75 eV per atom
M_tot ... 0.00 μB per formula unit
Electronic total energy ... -59.7 eV for the cell shown

Structure (POSCAR):
```
Ho2TmAlS6
1.0
6.6797 0.0000 -0.0001
3.3399 5.7846 0.0002
3.3394 1.9287 5.9059
Ho Tm Al S
2 1 1 6
Direct
0.5220 0.5220 0.4339 Ho
0.0201 0.0201 0.9396 Ho
0.8172 0.8172 0.5485 Tm
0.3205 0.3205 0.0384 Al
0.5839 0.2103 0.2489 S
0.2102 0.9570 0.2490 S
0.9571 0.5838 0.2490 S
0.4298 0.6886 0.7693 S
0.6885 0.1122 0.7694 S
0.1123 0.4298 0.7693 S
```

Question: Among the records above, which one has the highest raw formation energy?
Answer: HoAlTl2S4

Question: M_tot of number 2 (Sr2HoAlS5)?
Answer: 0.00 μB per formula unit

Question: Look up the electronic total energy of the third one.
Answer: -77.3 eV for the cell shown